(1)
Material: CoAs3Pb
Method: DFT, PBE
State: relaxed

Structure (POSCAR):
```
CoAs3Pb
1.0
4.719 0.000 0.000
0.000 4.719 0.000
0.000 0.000 4.719
Co As Pb
1 3 1
Direct
0.000 0.000 0.000 Co
0.000 0.000 0.500 As
0.000 0.500 0.000 As
0.500 0.000 0.000 As
0.500 0.500 0.500 Pb
```

## Properties
DOS at the Fermi energy: 5.330 states/eV/cell
distance to the lowest polymorph of the same formula: 0 meV/atom
SG: Pm-3m
calculated volume: 21.0 A^3/atom

=====

(2)
Material: La2PmH2
Method: DFT, PBE
State: relaxed

Structure (POSCAR):
```
La2PmH2
1.0
3.770 0.000 0.000
-1.885 3.265 0.000
0.000 0.000 17.847
La Pm H
4 2 4
Direct
0.333 0.667 0.086 La
0.333 0.667 0.414 La
0.667 0.333 0.586 La
0.667 0.333 0.914 La
0.333 0.667 0.750 Pm
0.667 0.333 0.250 Pm
0.000 0.000 0.173 H
0.000 0.000 0.327 H
0.000 0.000 0.673 H
0.000 0.000 0.827 H
```

## Properties
DOS at the Fermi energy: 8.297 states/eV/cell
SG: P6_3/mmc
calculated volume: 22.0 A^3/atom

=====

(3)
Material: NaCuBiPd
Method: DFT, PBE
State: relaxed

Structure (POSCAR):
```
NaCuBiPd
1.0
0.000 3.377 3.377
3.377 0.000 3.377
3.377 3.377 0.000
Na Cu Bi Pd
1 1 1 1
Direct
0.000 0.000 0.000 Na
0.750 0.750 0.750 Cu
0.500 0.500 0.500 Bi
0.250 0.250 0.250 Pd
```

## Properties
DOS at the Fermi energy: 1.700 states/eV/cell
SG: F-43m
calculated volume: 19.3 A^3/atom

=====

(4)
Material: Ta3Os
Method: DFT, PBE
State: relaxed

Structure (POSCAR):
```
Ta3Os
1.0
2.898 0.000 0.000
0.000 4.508 0.000
-1.005 0.000 5.215
Ta Os
3 1
Direct
0.000 0.000 0.000 Ta
0.256 0.500 0.747 Ta
0.744 0.500 0.253 Ta
0.500 0.000 0.500 Os
```

## Properties
DOS at the Fermi energy: 2.365 states/eV/cell
SG: P2/m
calculated volume: 17.0 A^3/atom

=====

Number 1: total energy -4.625 eV/atom. Number 2: total energy -4.531 eV/atom. Number 3: total energy -3.701 eV/atom. Number 4: total energy -11.898 eV/atom.